Record 1
A plane-wave DFT calculation with PBE-GGA was carried out for a relaxed K2AlSb crystal.

Summary:
distance to the lowest polymorph of the same formula: 237 meV per atom
density: 2.8 g/cm³
formation energy (no corrections): 0.03 eV/atom

abc: 5.3874 5.3874 9.1974
angles: 90.00 90.00 90.00
Last column: nearest neighbours and their distance in Å.
Space group I-4m2 (No. 119)
One atom of each set of equivalent atoms:
K 0.0000 0.0000 0.0000 x2  4 Sb 3.54, 4 K 3.54, 4 Al 3.81
K 0.0000 0.5000 0.2500 x2  4 K 3.54, 4 Al 3.54, 4 Sb 3.81
Al 0.0000 0.0000 0.5000 x2  4 Sb 3.54, 8 K 3.54-3.81
Sb 0.0000 0.5000 0.7500 x2  8 K 3.54-3.81, 4 Al 3.54

***

Record 2
A plane-wave DFT calculation with PBE-GGA was carried out for a relaxed KAl2Sb crystal.

Summary:
density: 2.8 g/cm³
formation energy (no corrections): 0.17 eV/atom

abc: 3.4617 6.3803 6.4079
angles: 67.58 74.93 89.86
Last column: nearest neighbours and their distance in Å.
Space group P-1 (No. 2)
One atom of each set of equivalent atoms:
K 0.0000 0.0000 0.0000 x1  2 K 3.46, 4 Sb 3.63, 2 Al 3.67
Al 0.1990 0.6033 0.5991 x2  2 Al 2.73-2.75, 2 Sb 2.87-2.89
Sb 0.5000 0.5000 0.0000 x1  4 Al 2.87-2.89